Record 1
A plane-wave DFT calculation with PBE was carried out for a relaxed structure of Nd7Y2Er.

Cell: 10.4142 10.4142 3.5349 Å, 90.00 90.00 108.76°
With the nearest neighbours (Å) after each atom.
Sites, in units of the cell vectors:
Nd 0.0000 0.0000 0.0000  10 Nd 3.47-3.68
Nd 0.1167 0.3734 0.0000  1 Y 3.16, 2 Nd 3.53
Nd 0.1766 0.8234 0.5000  2 Y 3.19, 8 Nd 3.47-3.55
Nd 0.3734 0.1167 0.0000  1 Y 3.16, 2 Nd 3.53
Nd 0.6266 0.8833 0.0000  1 Y 3.16, 2 Nd 3.53
Nd 0.8234 0.1766 0.5000  2 Y 3.19, 8 Nd 3.47-3.55
Nd 0.8833 0.6266 0.0000  1 Y 3.16, 2 Nd 3.53
Y 0.3335 0.6665 0.0000  4 Nd 3.16-3.19, 2 Er 3.33, 2 Y 3.53
Y 0.6665 0.3335 0.0000  4 Nd 3.16-3.19, 2 Er 3.33, 2 Y 3.53
Er 0.5000 0.5000 0.5000  4 Y 3.33, 2 Er 3.53

Values from the calculation:
Space-group type = No. 65
Formation energy from the elements = 3.89 eV/f.u.
Offset from the most stable computed form = 0.0 meV per atom

***

Record 2
A plane-wave DFT calculation with PBE was carried out for a relaxed structure of YGaHPt2.

Cell: 4.1214 4.1214 4.5080 Å, 90.00 90.00 90.00°
With the nearest neighbours (Å) after each atom.
Sites, in units of the cell vectors:
Y 0.0000 0.0000 0.0000  4 Ga 2.91, 8 Pt 3.05
Ga 0.5000 0.5000 0.0000  2 H 2.25
H 0.5000 0.5000 0.5000  4 Pt 2.06, 2 Ga 2.25
Pt 0.0000 0.5000 0.5000  2 H 2.06
Pt 0.5000 0.0000 0.5000  2 H 2.06

Values from the calculation:
Final energy = -5.4669 eV per atom
Space-group type = No. 123

***

Record 3
A plane-wave DFT calculation with PBE was carried out for a relaxed structure of Ta2BePt.

Cell: 8.7114 8.7114 8.7114 Å, 19.18 19.18 19.18°
With the nearest neighbours (Å) after each atom.
Sites, in units of the cell vectors:
Ta 0.0000 0.0000 0.0000  3 Be 2.63, 6 Ta 2.90
Ta 0.2346 0.2346 0.2346  3 Pt 2.86, 9 Ta 2.90-3.04
Be 0.7455 0.7455 0.7455  3 Pt 2.37, 3 Ta 2.63
Pt 0.4775 0.4775 0.4775  3 Be 2.37

Values from the calculation:
Space-group type = No. 160
Formation energy from the elements = -0.14 eV/f.u.

***

Record 4
A plane-wave DFT calculation with PBE was carried out for a relaxed structure of Cu5IBr12.

Cell: 5.9470 7.5068 13.7689 Å, 93.26 91.01 103.60°
With the nearest neighbours (Å) after each atom.
Sites, in units of the cell vectors:
Cu 0.0000 0.0000 0.0000  4 Br 2.39-2.45
Cu 0.2357 0.3602 0.5324  4 Br 2.36-2.43
Cu 0.3376 0.6664 0.0012  4 Br 2.40-2.44
Cu 0.6624 0.3336 0.9988  4 Br 2.40-2.44
Cu 0.7643 0.6398 0.4676  4 Br 2.36-2.43
I 0.5000 0.0000 0.5000  2 Br 2.75
Br 0.0790 0.2766 0.6838  1 Cu 2.36
Br 0.0912 0.7870 0.1149  2 Cu 2.44-2.45
Br 0.0985 0.7851 0.5666  1 Cu 2.39
Br 0.2490 0.8810 0.8925  2 Cu 2.39-2.40
Br 0.4106 0.4466 0.1109  2 Cu 2.41-2.42
Br 0.4162 0.4715 0.3834  2 Cu 2.40-2.43
Br 0.5838 0.5285 0.6166  2 Cu 2.40-2.43
Br 0.5894 0.5534 0.8891  2 Cu 2.41-2.42
Br 0.7510 0.1190 0.1075  2 Cu 2.39-2.40
Br 0.9015 0.2149 0.4334  1 Cu 2.39
Br 0.9088 0.2130 0.8851  2 Cu 2.44-2.45
Br 0.9210 0.7234 0.3162  1 Cu 2.36

Values from the calculation:
Space-group type = No. 2
ΔE_f (raw) = -0.211 eV/atom

***

Record 5
A plane-wave DFT calculation with PBE was carried out for a relaxed structure of Li2CoCl.

Cell: 3.0537 3.0537 8.3549 Å, 90.00 90.00 115.99°
With the nearest neighbours (Å) after each atom.
Sites, in units of the cell vectors:
Li 0.0000 0.0000 0.0000  2 Cl 2.29
Li 0.5000 0.5000 0.3303  2 Co 2.63
Co 0.0000 0.0000 0.5789  2 Cl 2.50, 2 Li 2.63
Cl 0.5000 0.5000 0.8066  2 Li 2.29, 2 Co 2.50

Values from the calculation:
Space-group type = No. 35
ΔE_f (raw) = -0.019 eV/atom
Offset from the most stable computed form = 335.8 meV per atom

***

Record 6
A plane-wave DFT calculation with PBE was carried out for a relaxed structure of ZrVSn2.

Cell: 10.6143 10.6143 10.6143 Å, 16.96 16.96 16.96°
With the nearest neighbours (Å) after each atom.
Sites, in units of the cell vectors:
Zr 0.0000 0.0000 0.0000  2 Sn 3.01, 6 Zr 3.13
V 0.5000 0.5000 0.5000  6 Sn 2.86, 6 V 3.13
Sn 0.0958 0.0958 0.0958  3 V 2.86, 1 Zr 3.01, 6 Sn 3.13
Sn 0.9042 0.9042 0.9042  3 V 2.86, 1 Zr 3.01, 6 Sn 3.13

Values from the calculation:
Space-group type = No. 166
Formation energy from the elements = 1.16 eV/f.u.
Offset from the most stable computed form = 250.8 meV per atom

***

Record 7
A plane-wave DFT calculation with PBE was carried out for a relaxed structure of SnRhO.

Cell: 5.8667 6.0482 5.9200 Å, 90.00 112.99 90.00°
With the nearest neighbours (Å) after each atom.
Sites, in units of the cell vectors:
Sn 0.1576 0.0000 0.1052  1 O 2.12
Sn 0.3134 0.4994 0.4450  1 O 2.10
Sn 0.6866 0.9994 0.5550  1 O 2.10
Sn 0.8424 0.5000 0.8948  1 O 2.12
Rh 0.2573 0.1101 0.5696  2 O 2.15-2.25
Rh 0.3079 0.6169 0.0245  2 O 2.10-2.24
Rh 0.6921 0.1169 0.9755  2 O 2.10-2.24
Rh 0.7427 0.6101 0.4304  2 O 2.15-2.25
O 0.1451 0.7009 0.6246  1 Sn 2.10, 2 Rh 2.24-2.25
O 0.3358 0.2130 0.9409  2 Rh 2.10-2.15, 1 Sn 2.12
O 0.6642 0.7130 0.0591  2 Rh 2.10-2.15, 1 Sn 2.12
O 0.8549 0.2009 0.3754  1 Sn 2.10, 2 Rh 2.24-2.25

Values from the calculation:
Space-group type = No. 4
ΔE_f (raw) = -0.567 eV/atom

***

Record 8
A plane-wave DFT calculation with PBE was carried out for a relaxed structure of IrRh2.

Cell: 6.0947 6.0947 3.8462 Å, 90.00 90.00 143.17°
With the nearest neighbours (Å) after each atom.
Sites, in units of the cell vectors:
Ir 0.0831 0.9169 0.7500  10 Rh 2.71-2.74, 2 Ir 2.72
Ir 0.9169 0.0831 0.2500  10 Rh 2.71-2.74, 2 Ir 2.72
Rh 0.2516 0.7484 0.2500  4 Ir 2.71-2.74, 8 Rh 2.72-2.75
Rh 0.4185 0.5815 0.7500  6 Rh 2.69-2.75, 6 Ir 2.71-2.72
Rh 0.5815 0.4185 0.2500  6 Rh 2.69-2.75, 6 Ir 2.71-2.72
Rh 0.7484 0.2516 0.7500  4 Ir 2.71-2.74, 8 Rh 2.72-2.75

Values from the calculation:
Space-group type = No. 63
Formation energy from the elements = -0.04 eV/f.u.
Offset from the most stable computed form = 0.6 meV per atom

***

Sequential theoretical density output: 6.2 11.9 15.1 3.9 2.6 7.1 8.2 15.4 g cm⁻³